(1)
A plane-wave DFT calculation with PBE was carried out for GaCoTeN2 after structural relaxation.

Unit cell a=3.8103 b=3.8103 c=5.3666 alpha=90.00 beta=90.00 gamma=90.00
Fractional coordinates of all 5 atoms:
Ga: 0.0000 0.0000 0.0000
Co: 0.5000 0.5000 0.5000
Te: 0.5000 0.5000 0.0000
N: 0.0000 0.5000 0.5000
N: 0.5000 0.0000 0.5000

Properties
Formation energy (no corrections), eV/atom: 1.02
DOS at the Fermi energy, states/eV/f.u.: 4.43
Raw total energy, eV/cell: -24.8
Symmetry: P4/mmm
Offset from the most stable computed form, meV per atom: 0.0



(2)
A plane-wave DFT calculation with PBE was carried out for PRh after structural relaxation.

Unit cell a=7.0889 b=7.0889 c=2.8909 alpha=90.00 beta=90.00 gamma=90.00
Fractional coordinates of all 8 atoms:
P: 0.1831 0.1831 0.0000
P: 0.3169 0.6831 0.5000
P: 0.6831 0.3169 0.5000
P: 0.8169 0.8169 0.0000
Rh: 0.1409 0.8591 0.0000
Rh: 0.3591 0.3591 0.5000
Rh: 0.6409 0.6409 0.5000
Rh: 0.8591 0.1409 0.0000

Properties
Energy of formation from the pure elements, kJ/mol of atoms: -40.7
DOS at the Fermi energy, states/eV/f.u.: 0.97
Raw total energy, eV/cell: -54.4
Symmetry: P4_2/mnm



(3)
A plane-wave DFT calculation with PBE was carried out for Nd3DyEr after structural relaxation.

Unit cell a=3.5771 b=17.5920 c=11.0444 alpha=90.00 beta=90.00 gamma=90.00
Fractional coordinates of all 20 atoms:
Nd: 0.2407 0.2500 0.0000
Nd: 0.2407 0.2500 0.5000
Nd: 0.2556 0.5764 0.0567
Nd: 0.2556 0.5764 0.4433
Nd: 0.2556 0.9236 0.5567
Nd: 0.2556 0.9236 0.9433
Nd: 0.7444 0.0764 0.0567
Nd: 0.7444 0.0764 0.4433
Nd: 0.7444 0.4236 0.5567
Nd: 0.7444 0.4236 0.9433
Nd: 0.7593 0.7500 0.0000
Nd: 0.7593 0.7500 0.5000
Dy: 0.2359 0.1010 0.7500
Dy: 0.2359 0.3990 0.2500
Dy: 0.7641 0.6010 0.7500
Dy: 0.7641 0.8990 0.2500
Er: 0.2625 0.7258 0.2500
Er: 0.2625 0.7742 0.7500
Er: 0.7375 0.2258 0.2500
Er: 0.7375 0.2742 0.7500

Properties
Energy of formation from the pure elements, kJ/mol of atoms: 15.9
DOS at the Fermi energy, states/eV/f.u.: 7.29
Raw total energy, eV/cell: -90.6
Symmetry: Pbcm
Offset from the most stable computed form, meV per atom: 0.0



(4)
A plane-wave DFT calculation with PBE was carried out for TmNi2C after structural relaxation.

Unit cell a=4.8237 b=4.8237 c=6.2689 alpha=90.00 beta=90.00 gamma=138.16
Fractional coordinates of all 8 atoms:
Tm: 0.0474 0.9526 0.7500
Tm: 0.9526 0.0474 0.2500
Ni: 0.3346 0.6654 0.5570
Ni: 0.3346 0.6654 0.9430
Ni: 0.6654 0.3346 0.0570
Ni: 0.6654 0.3346 0.4430
C: 0.2415 0.7585 0.2500
C: 0.7585 0.2415 0.7500

Properties
Energy of formation from the pure elements, kJ/mol of atoms: -11.4
DOS at the Fermi energy, states/eV/f.u.: 2.28
Raw total energy, eV/cell: -51.5
Symmetry: Cmcm
Offset from the most stable computed form, meV per atom: 0.0



(5)
A plane-wave DFT calculation with PBE was carried out for CuOsCl2 after structural relaxation.

Unit cell a=4.8709 b=4.8709 c=7.2655 alpha=109.20 beta=109.20 gamma=35.07
Fractional coordinates of all 4 atoms:
Cu: 0.0000 0.0000 0.0000
Os: 0.7329 0.7329 0.9998
Cl: 0.1664 0.1664 0.7240
Cl: 0.3148 0.3148 0.2757

Properties
Formation energy (no corrections), eV/atom: 0.34
DOS at the Fermi energy, states/eV/f.u.: 3.40
Raw total energy, eV/cell: -17.7
Symmetry: Cm
Offset from the most stable computed form, meV per atom: 118.7



(6)
A plane-wave DFT calculation with PBE was carried out for PaTiReRu after structural relaxation.

Unit cell a=4.6524 b=4.6524 c=4.6524 alpha=60.00 beta=60.00 gamma=60.00
Fractional coordinates of all 4 atoms:
Pa: 0.0000 0.0000 0.0000
Ti: 0.5000 0.5000 0.5000
Re: 0.2500 0.2500 0.2500
Ru: 0.7500 0.7500 0.7500

Properties
Energy of formation from the pure elements, kJ/mol of atoms: -26.7
DOS at the Fermi energy, states/eV/f.u.: 4.05
Raw total energy, eV/cell: -40.2
Symmetry: F-43m



(7)
A plane-wave DFT calculation with PBE was carried out for LaCeS3 after structural relaxation.

Unit cell a=7.5538 b=4.1038 c=15.6730 alpha=90.00 beta=90.00 gamma=90.00
Fractional coordinates of all 20 atoms:
La: 0.1358 0.2500 0.2051
La: 0.3642 0.7500 0.7051
La: 0.6358 0.2500 0.2949
La: 0.8642 0.7500 0.7949
Ce: 0.2376 0.7500 0.4573
Ce: 0.2624 0.2500 0.9573
Ce: 0.7376 0.7500 0.0427
Ce: 0.7624 0.2500 0.5427
S: 0.0121 0.2500 0.3947
S: 0.1277 0.7500 0.0656
S: 0.1514 0.2500 0.7820
S: 0.3486 0.7500 0.2820
S: 0.3723 0.2500 0.5656
S: 0.4879 0.7500 0.8947
S: 0.5121 0.2500 0.1053
S: 0.6277 0.7500 0.4344
S: 0.6514 0.2500 0.7180
S: 0.8486 0.7500 0.2180
S: 0.8723 0.2500 0.9344
S: 0.9879 0.7500 0.6053

Properties
Formation energy (no corrections), eV/atom: -2.11
DOS at the Fermi energy, states/eV/f.u.: 6.34
Raw total energy, eV/cell: -135.1
Symmetry: Pnma
Offset from the most stable computed form, meV per atom: 0.0



(8)
A plane-wave DFT calculation with PBE was carried out for InIrRh2 after structural relaxation.

Unit cell a=4.8182 b=4.8182 c=4.8182 alpha=130.92 beta=130.92 gamma=71.94
Fractional coordinates of all 4 atoms:
In: 0.0000 0.0000 0.0000
Ir: 0.2500 0.7500 0.5000
Rh: 0.5000 0.5000 0.0000
Rh: 0.7500 0.2500 0.5000

Properties
Energy of formation from the pure elements, kJ/mol of atoms: -6.7
DOS at the Fermi energy, states/eV/f.u.: 3.75
Raw total energy, eV/cell: -26.6
Symmetry: I-4m2